# 1
# Ce6Al2Sn GGA-PBE optimized geometry
# formation enthalpy at 0 K	-0.256	eV per atom
# symmetry	P6/mmm
data_Ce6Al2Sn
_chemical_formula_sum 'Ce6 Al2 Sn1'
_cell_length_a 8.982
_cell_length_b 8.982
_cell_length_c 3.028
_cell_angle_alpha 90.00
_cell_angle_beta 90.00
_cell_angle_gamma 120.00
_space_group_name_H-M_alt 'P 1'
_space_group_IT_number 1
_space_group_name_Hall 'P 1'
loop_
_atom_site_label
_atom_site_fract_x
_atom_site_fract_y
_atom_site_fract_z
_atom_site_occupancy
Ce1 0.000 0.345 0.000 1
Ce2 0.000 0.655 0.000 1
Ce3 0.345 0.000 0.000 1
Ce4 0.345 0.345 0.000 1
Ce5 0.655 0.000 0.000 1
Ce6 0.655 0.655 0.000 1
Al1 0.333 0.667 0.500 1
Al2 0.667 0.333 0.500 1
Sn1 0.000 0.000 0.500 1

---

# 2
# AgIrW2 GGA-PBE optimized geometry
# distance to the lowest polymorph of the same formula	80.3	meV per atom
# formation enthalpy at 0 K	0.318	eV per atom
# symmetry	Pmm2
data_AgIrW2
_chemical_formula_sum 'Ag1 Ir1 W2'
_cell_length_a 2.772
_cell_length_b 4.003
_cell_length_c 5.778
_cell_angle_alpha 90.00
_cell_angle_beta 90.00
_cell_angle_gamma 90.00
_space_group_name_H-M_alt 'P 1'
_space_group_IT_number 1
_space_group_name_Hall 'P 1'
loop_
_atom_site_label
_atom_site_fract_x
_atom_site_fract_y
_atom_site_fract_z
_atom_site_occupancy
Ag1 0.000 0.000 0.000 1
Ir1 0.500 0.500 0.269 1
W1 0.000 0.000 0.484 1
W2 0.500 0.500 0.742 1

---

# 3
# CaDyZnAu GGA-PBE optimized geometry
# distance to the lowest polymorph of the same formula	18.1	meV per atom
# formation enthalpy at 0 K	-0.548	eV per atom
# symmetry	F-43m
data_CaDyZnAu
_chemical_formula_sum 'Ca4 Dy4 Zn4 Au4'
_cell_length_a 7.208
_cell_length_b 7.208
_cell_length_c 7.208
_cell_angle_alpha 90.00
_cell_angle_beta 90.00
_cell_angle_gamma 90.00
_space_group_name_H-M_alt 'P 1'
_space_group_IT_number 1
_space_group_name_Hall 'P 1'
loop_
_atom_site_label
_atom_site_fract_x
_atom_site_fract_y
_atom_site_fract_z
_atom_site_occupancy
Ca1 0.000 0.000 0.000 1
Ca2 0.000 0.500 0.500 1
Ca3 0.500 0.000 0.500 1
Ca4 0.500 0.500 0.000 1
Dy1 0.000 0.000 0.500 1
Dy2 0.000 0.500 0.000 1
Dy3 0.500 0.000 0.000 1
Dy4 0.500 0.500 0.500 1
Zn1 0.250 0.250 0.250 1
Zn2 0.250 0.750 0.750 1
Zn3 0.750 0.250 0.750 1
Zn4 0.750 0.750 0.250 1
Au1 0.250 0.250 0.750 1
Au2 0.250 0.750 0.250 1
Au3 0.750 0.250 0.250 1
Au4 0.750 0.750 0.750 1

---

# 4
# Sr2LiCuI GGA-PBE optimized geometry
# total DFT energy (no corrections)	-2.142	eV/atom
# symmetry	P4/mmm
data_Sr2LiCuI
_chemical_formula_sum 'Sr2 Li1 Cu1 I1'
_cell_length_a 6.330
_cell_length_b 6.330
_cell_length_c 4.854
_cell_angle_alpha 90.00
_cell_angle_beta 90.00
_cell_angle_gamma 90.00
_space_group_name_H-M_alt 'P 1'
_space_group_IT_number 1
_space_group_name_Hall 'P 1'
loop_
_atom_site_label
_atom_site_fract_x
_atom_site_fract_y
_atom_site_fract_z
_atom_site_occupancy
Sr1 0.000 0.500 0.000 1
Sr2 0.500 0.000 0.000 1
Li1 0.000 0.000 0.500 1
Cu1 0.500 0.500 0.500 1
I1 0.000 0.000 0.000 1

---

# 5
# Pr2Al5Ag5 GGA-PBE optimized geometry
# formation enthalpy at 0 K	-0.348	eV per atom
# symmetry	Pmmm
data_Pr2Al5Ag5
_chemical_formula_sum 'Pr2 Al5 Ag5'
_cell_length_a 4.464
_cell_length_b 5.528
_cell_length_c 9.743
_cell_angle_alpha 90.00
_cell_angle_beta 90.00
_cell_angle_gamma 90.00
_space_group_name_H-M_alt 'P 1'
_space_group_IT_number 1
_space_group_name_Hall 'P 1'
loop_
_atom_site_label
_atom_site_fract_x
_atom_site_fract_y
_atom_site_fract_z
_atom_site_occupancy
Pr1 0.000 0.000 0.000 1
Pr2 0.000 0.500 0.500 1
Al1 0.500 0.000 0.500 1
Al2 0.500 0.248 0.245 1
Al3 0.500 0.248 0.755 1
Al4 0.500 0.752 0.245 1
Al5 0.500 0.752 0.755 1
Ag1 0.000 0.000 0.334 1
Ag2 0.000 0.000 0.666 1
Ag3 0.000 0.500 0.180 1
Ag4 0.000 0.500 0.820 1
Ag5 0.500 0.500 0.000 1

---

# 6
# KNaThSe3 GGA-PBE optimized geometry
# total DFT energy (no corrections)	-4.906	eV/atom
# symmetry	P2_1/m
data_KNaThSe3
_chemical_formula_sum 'K2 Na2 Th2 Se6'
_cell_length_a 8.027
_cell_length_b 4.376
_cell_length_c 10.463
_cell_angle_alpha 90.00
_cell_angle_beta 92.67
_cell_angle_gamma 90.00
_space_group_name_H-M_alt 'P 1'
_space_group_IT_number 1
_space_group_name_Hall 'P 1'
loop_
_atom_site_label
_atom_site_fract_x
_atom_site_fract_y
_atom_site_fract_z
_atom_site_occupancy
K1 0.080 0.250 0.168 1
K2 0.920 0.750 0.832 1
Na1 0.228 0.750 0.499 1
Na2 0.772 0.250 0.501 1
Th1 0.412 0.250 0.813 1
Th2 0.588 0.750 0.187 1
Se1 0.113 0.250 0.667 1
Se2 0.298 0.750 0.986 1
Se3 0.438 0.250 0.325 1
Se4 0.562 0.750 0.675 1
Se5 0.702 0.250 0.014 1
Se6 0.887 0.750 0.333 1

---

Calculated calculated volume, 212; 64; 374; 194; 240; 367 Å³ per cell (same order as the records).